1) # KLa2Tc | the Alexandria database | SCAN | single point on PBEsol structure
# total magnetization = 0.0 μB/f.u.
# symmetry = No. 6
# volume = 149.17 Å³ per cell
data_KLa2Tc
_symmetry_space_group_name_H-M 'P 1'
_symmetry_Int_Tables_number 1
_symmetry_space_group_name_Hall 'P 1'
_cell_length_a 4.362
_cell_length_b 3.708
_cell_length_c 9.478
_cell_angle_alpha 90.00
_cell_angle_beta 103.33
_cell_angle_gamma 90.00
loop_
_atom_site_label
_atom_site_type_symbol
_atom_site_fract_x
_atom_site_fract_y
_atom_site_fract_z
La1 La 0.104 0.000 0.083
La2 La 0.745 0.500 0.365
K1 K 0.423 0.500 0.719
Tc1 Tc 0.229 0.000 0.333



2) # KLa2Tc | the Alexandria database | SCAN | single point on PBEsol structure
# total magnetization = 0.0 μB/f.u.
# symmetry = No. 12
# volume = 151.17 Å³ per cell
data_KLa2Tc
_symmetry_space_group_name_H-M 'P 1'
_symmetry_Int_Tables_number 1
_symmetry_space_group_name_Hall 'P 1'
_cell_length_a 4.134
_cell_length_b 4.140
_cell_length_c 10.454
_cell_angle_alpha 101.06
_cell_angle_beta 90.00
_cell_angle_gamma 119.95
loop_
_atom_site_label
_atom_site_type_symbol
_atom_site_fract_x
_atom_site_fract_y
_atom_site_fract_z
La1 La 0.213 0.426 0.144
La2 La 0.787 0.574 0.856
Tc1 Tc 0.500 0.000 0.000
K1 K 0.000 0.000 0.500



3) # KLa2Tc | the Alexandria database | SCAN | single point on PBEsol structure
# total magnetization = 0.0 μB/f.u.
# symmetry = No. 71
# volume = 126.69 Å³ per cell
data_KLa2Tc
_symmetry_space_group_name_H-M 'P 1'
_symmetry_Int_Tables_number 1
_symmetry_space_group_name_Hall 'P 1'
_cell_length_a 3.938
_cell_length_b 6.242
_cell_length_c 6.242
_cell_angle_alpha 62.68
_cell_angle_beta 71.61
_cell_angle_gamma 71.61
loop_
_atom_site_label
_atom_site_type_symbol
_atom_site_fract_x
_atom_site_fract_y
_atom_site_fract_z
La1 La 0.181 0.819 0.819
La2 La 0.819 0.181 0.181
K1 K 0.000 0.500 0.500
Tc1 Tc 0.500 0.000 0.000



4) # KLa2Tc | the Alexandria database | SCAN | single point on PBEsol structure
# total magnetization = 0.0 μB/f.u.
# symmetry = No. 99
# volume = 154.92 Å³ per cell
data_KLa2Tc
_symmetry_space_group_name_H-M 'P 1'
_symmetry_Int_Tables_number 1
_symmetry_space_group_name_Hall 'P 1'
_cell_length_a 3.969
_cell_length_b 3.969
_cell_length_c 9.835
_cell_angle_alpha 90.00
_cell_angle_beta 90.00
_cell_angle_gamma 90.00
loop_
_atom_site_label
_atom_site_type_symbol
_atom_site_fract_x
_atom_site_fract_y
_atom_site_fract_z
K1 K 0.500 0.500 0.742
La1 La 0.500 0.500 0.354
La2 La 0.000 0.000 0.085
Tc1 Tc 0.000 0.000 0.319



Stability verdict: 2), ahead by 7 meV per atom



1) # KLaTc2 | the Alexandria database | SCAN | single point on PBEsol structure
# total magnetization = 0.0 μB/f.u.
# symmetry = No. 139
# volume = 78.33 Å³ per cell
data_KLaTc2
_symmetry_space_group_name_H-M 'P 1'
_symmetry_Int_Tables_number 1
_symmetry_space_group_name_Hall 'P 1'
_cell_length_a 3.869
_cell_length_b 3.869
_cell_length_c 5.904
_cell_angle_alpha 109.13
_cell_angle_beta 109.13
_cell_angle_gamma 90.00
loop_
_atom_site_label
_atom_site_type_symbol
_atom_site_fract_x
_atom_site_fract_y
_atom_site_fract_z
Tc1 Tc 0.750 0.250 0.500
Tc2 Tc 0.250 0.750 0.500
La1 La 0.000 0.000 0.000
K1 K 0.500 0.500 0.000



2) # KLaTc2 | the Alexandria database | SCAN | single point on PBEsol structure
# total magnetization = 0.0 μB/f.u.
# symmetry = No. 47
# volume = 110.91 Å³ per cell
data_KLaTc2
_symmetry_space_group_name_H-M 'P 1'
_symmetry_Int_Tables_number 1
_symmetry_space_group_name_Hall 'P 1'
_cell_length_a 3.081
_cell_length_b 4.957
_cell_length_c 7.262
_cell_angle_alpha 90.00
_cell_angle_beta 90.00
_cell_angle_gamma 90.00
loop_
_atom_site_label
_atom_site_type_symbol
_atom_site_fract_x
_atom_site_fract_y
_atom_site_fract_z
Tc1 Tc 0.000 0.000 0.353
Tc2 Tc 0.000 0.000 0.647
La1 La 0.500 0.500 0.500
K1 K 0.500 0.500 0.000



Stability verdict: 2), ahead by 449 meV per atom



1) # KLa2W | the Alexandria database | SCAN | single point on PBEsol structure
# total magnetization = 0.0 μB/f.u.
# symmetry = No. 71
# volume = 108.65 Å³ per cell
data_KLa2W
_symmetry_space_group_name_H-M 'P 1'
_symmetry_Int_Tables_number 1
_symmetry_space_group_name_Hall 'P 1'
_cell_length_a 4.843
_cell_length_b 5.404
_cell_length_c 5.404
_cell_angle_alpha 65.06
_cell_angle_beta 63.38
_cell_angle_gamma 63.38
loop_
_atom_site_label
_atom_site_type_symbol
_atom_site_fract_x
_atom_site_fract_y
_atom_site_fract_z
W1 W 0.500 0.000 0.000
K1 K 0.000 0.500 0.500
La1 La 0.219 0.781 0.781
La2 La 0.781 0.219 0.219



2) # KLa2W | the Alexandria database | SCAN | single point on PBEsol structure
# total magnetization = 0.0 μB/f.u.
# symmetry = No. 12
# volume = 105.93 Å³ per cell
data_KLa2W
_symmetry_space_group_name_H-M 'P 1'
_symmetry_Int_Tables_number 1
_symmetry_space_group_name_Hall 'P 1'
_cell_length_a 2.988
_cell_length_b 6.258
_cell_length_c 6.258
_cell_angle_alpha 108.35
_cell_angle_beta 100.13
_cell_angle_gamma 100.13
loop_
_atom_site_label
_atom_site_type_symbol
_atom_site_fract_x
_atom_site_fract_y
_atom_site_fract_z
W1 W 0.500 0.000 0.000
K1 K 0.500 0.500 0.500
La1 La 0.000 0.500 0.000
La2 La 0.000 0.000 0.500



3) # KLa2W | the Alexandria database | SCAN | single point on PBEsol structure
# total magnetization = 0.0 μB/f.u.
# symmetry = No. 225
# volume = 104.23 Å³ per cell
data_KLa2W
_symmetry_space_group_name_H-M 'P 1'
_symmetry_Int_Tables_number 1
_symmetry_space_group_name_Hall 'P 1'
_cell_length_a 5.282
_cell_length_b 5.282
_cell_length_c 5.282
_cell_angle_alpha 60.00
_cell_angle_beta 60.00
_cell_angle_gamma 60.00
loop_
_atom_site_label
_atom_site_type_symbol
_atom_site_fract_x
_atom_site_fract_y
_atom_site_fract_z
K1 K 0.500 0.500 0.500
La1 La 0.750 0.750 0.750
La2 La 0.250 0.250 0.250
W1 W 0.000 0.000 0.000



Stability verdict: 1), ahead by 46 meV per atom



1) # K5Li | the Alexandria database | SCAN | single point on PBEsol structure
# total magnetization = 0.0 μB/f.u.
# symmetry = No. 123
# volume = 370.72 Å³ per cell
data_K5Li
_symmetry_space_group_name_H-M 'P 1'
_symmetry_Int_Tables_number 1
_symmetry_space_group_name_Hall 'P 1'
_cell_length_a 4.580
_cell_length_b 4.580
_cell_length_c 17.676
_cell_angle_alpha 90.00
_cell_angle_beta 90.00
_cell_angle_gamma 90.00
loop_
_atom_site_label
_atom_site_type_symbol
_atom_site_fract_x
_atom_site_fract_y
_atom_site_fract_z
K1 K 0.500 0.500 0.689
K2 K 0.000 0.000 0.876
K3 K 0.500 0.500 0.311
K4 K 0.000 0.000 0.500
K5 K 0.000 0.000 0.124
Li1 Li 0.500 0.500 0.000



2) # K5Li | the Alexandria database | SCAN | single point on PBEsol structure
# total magnetization = 0.0 μB/f.u.
# symmetry = No. 65
# volume = 366.40 Å³ per cell
data_K5Li
_symmetry_space_group_name_H-M 'P 1'
_symmetry_Int_Tables_number 1
_symmetry_space_group_name_Hall 'P 1'
_cell_length_a 6.577
_cell_length_b 6.519
_cell_length_c 9.156
_cell_angle_alpha 90.00
_cell_angle_beta 111.05
_cell_angle_gamma 90.00
loop_
_atom_site_label
_atom_site_type_symbol
_atom_site_fract_x
_atom_site_fract_y
_atom_site_fract_z
K1 K 0.845 0.000 0.689
K2 K 0.345 0.500 0.691
K3 K 0.655 0.500 0.309
K4 K 0.000 0.500 0.000
K5 K 0.155 0.000 0.311
Li1 Li 0.500 0.000 0.000



Stability verdict: 1), ahead by 15 meV per atom



1) # KLi2Mo | the Alexandria database | SCAN | single point on PBEsol structure
# total magnetization = 4.6 μB/f.u.
# symmetry = No. 122
# volume = 213.50 Å³ per cell
data_KLi2Mo
_symmetry_space_group_name_H-M 'P 1'
_symmetry_Int_Tables_number 1
_symmetry_space_group_name_Hall 'P 1'
_cell_length_a 6.574
_cell_length_b 6.574
_cell_length_c 6.574
_cell_angle_alpha 104.64
_cell_angle_beta 104.64
_cell_angle_gamma 119.63
loop_
_atom_site_label
_atom_site_type_symbol
_atom_site_fract_x
_atom_site_fract_y
_atom_site_fract_z
Mo1 Mo 0.250 0.750 0.500
Mo2 Mo 0.000 0.000 0.000
Li1 Li 0.125 0.656 0.031
Li2 Li 0.625 0.094 0.969
Li3 Li 0.906 0.875 0.531
Li4 Li 0.344 0.375 0.469
K1 K 0.750 0.250 0.500
K2 K 0.500 0.500 0.000



2) # KLi2Mo | the Alexandria database | SCAN | single point on PBEsol structure
# total magnetization = 1.0 μB/f.u.
# symmetry = No. 10
# volume = 86.36 Å³ per cell
data_KLi2Mo
_symmetry_space_group_name_H-M 'P 1'
_symmetry_Int_Tables_number 1
_symmetry_space_group_name_Hall 'P 1'
_cell_length_a 2.616
_cell_length_b 4.467
_cell_length_c 7.400
_cell_angle_alpha 90.00
_cell_angle_beta 92.90
_cell_angle_gamma 90.00
loop_
_atom_site_label
_atom_site_type_symbol
_atom_site_fract_x
_atom_site_fract_y
_atom_site_fract_z
K1 K 0.500 0.500 0.500
Mo1 Mo 0.500 0.500 0.000
Li1 Li 0.023 0.000 0.168
Li2 Li 0.977 0.000 0.832



Stability verdict: 2), ahead by 285 meV per atom



1) # KNaLi3 | the Alexandria database | SCAN | single point on PBEsol structure
# total magnetization = 0.0 μB/f.u.
# symmetry = No. 221
# volume = 185.47 Å³ per cell
data_KNaLi3
_symmetry_space_group_name_H-M 'P 1'
_symmetry_Int_Tables_number 1
_symmetry_space_group_name_Hall 'P 1'
_cell_length_a 5.703
_cell_length_b 5.703
_cell_length_c 5.703
_cell_angle_alpha 90.00
_cell_angle_beta 90.00
_cell_angle_gamma 90.00
loop_
_atom_site_label
_atom_site_type_symbol
_atom_site_fract_x
_atom_site_fract_y
_atom_site_fract_z
Li1 Li 0.500 0.000 0.000
Li2 Li 0.000 0.500 0.000
Li3 Li 0.000 0.000 0.500
Na1 Na 0.000 0.000 0.000
K1 K 0.500 0.500 0.500



2) # KNaLi3 | the Alexandria database | SCAN | single point on PBEsol structure
# total magnetization = 0.0 μB/f.u.
# symmetry = No. 221
# volume = 204.11 Å³ per cell
data_KNaLi3
_symmetry_space_group_name_H-M 'P 1'
_symmetry_Int_Tables_number 1
_symmetry_space_group_name_Hall 'P 1'
_cell_length_a 5.888
_cell_length_b 5.888
_cell_length_c 5.888
_cell_angle_alpha 90.00
_cell_angle_beta 90.00
_cell_angle_gamma 90.00
loop_
_atom_site_label
_atom_site_type_symbol
_atom_site_fract_x
_atom_site_fract_y
_atom_site_fract_z
K1 K 0.000 0.000 0.000
Li1 Li 0.500 0.000 0.000
Li2 Li 0.000 0.000 0.500
Li3 Li 0.000 0.500 0.000
Na1 Na 0.500 0.500 0.500



Stability verdict: 1), ahead by 271 meV per atom